TbEr3Tm: optimized geometry, PBE-GGA.

Values from the calculation:
- V: 154.6 Å³/f.u.
- Formation energy from the elements: 0.001 eV/atom
- Calculated total energy: -4.557 eV per atom
- Energy relative to the lowest polymorph listed for this composition: 0 meV per atom

Unit cell a=9.479 b=6.199 c=6.617 alpha=62.11 beta=95.88 gamma=70.89
Atoms (fractional coordinates):
1 Tb 0.250 0.283 0.249
2 Tb 0.750 0.117 0.751
3 Er 0.150 0.916 0.751
4 Er 0.950 0.517 0.749
5 Er 0.450 0.683 0.250
6 Er 0.550 0.717 0.750
7 Er 0.050 0.883 0.251
8 Er 0.850 0.484 0.249
9 Tm 0.649 0.084 0.250
10 Tm 0.351 0.316 0.750

=====

LiPu2Rh3: optimized geometry, PBE-GGA.

Values from the calculation:
- V: 107.8 Å³/f.u.
- Formation energy from the elements: -0.382 eV/atom
- Calculated total energy: -9.154 eV per atom

Unit cell a=4.680 b=8.244 c=8.244 alpha=122.65 beta=106.55 gamma=106.55
Site moments in Bohr magnetons follow the coordinates.
Atoms (fractional coordinates):
1 Li 0.250 0.424 0.576  0.00
2 Li 0.750 0.576 0.424  0.00
3 Pu 0.250 0.088 0.912  4.83
4 Pu 0.250 0.730 0.270  4.94
5 Pu 0.750 0.912 0.088  4.83
6 Pu 0.750 0.270 0.730  4.94
7 Rh 0.500 0.826 0.674  -0.27
8 Rh 0.000 0.674 0.826  -0.27
9 Rh 0.500 0.500 0.000  -0.27
10 Rh 0.500 0.174 0.326  -0.27
11 Rh 0.000 0.000 0.500  -0.27
12 Rh 0.000 0.326 0.174  -0.27

=====

Pm3SnBi3: optimized geometry, PBE-GGA.

Values from the calculation:
- V: 229.7 Å³/f.u.
- Formation energy from the elements: -0.549 eV/atom
- Calculated total energy: -4.820 eV per atom

Unit cell a=7.048 b=7.048 c=9.476 alpha=86.12 beta=86.12 gamma=101.05
Atoms (fractional coordinates):
1 Pm 0.953 0.953 0.231
2 Pm 0.886 0.517 0.711
3 Pm 0.517 0.886 0.711
4 Pm 0.114 0.483 0.289
5 Pm 0.483 0.114 0.289
6 Pm 0.047 0.047 0.769
7 Sn 0.726 0.726 0.982
8 Sn 0.274 0.274 0.018
9 Bi 0.606 0.606 0.309
10 Bi 0.182 0.818 0.500
11 Bi 0.818 0.182 0.500
12 Bi 0.230 0.770 0.000
13 Bi 0.770 0.230 0.000
14 Bi 0.394 0.394 0.691

=====

CrCo2RhPb: optimized geometry, PBE-GGA.

Values from the calculation:
- V: 104.3 Å³/f.u.
- Formation energy from the elements: 1.616 eV/atom
- Calculated total energy: -5.363 eV per atom

Unit cell a=4.555 b=5.027 c=4.555 alpha=90.00 beta=90.00 gamma=90.00
Site moments in Bohr magnetons follow the coordinates.
Atoms (fractional coordinates):
1 Pb 0.000 0.500 0.000  0.04
2 Co 0.000 0.000 0.500  2.41
3 Co 0.500 0.000 0.000  1.74
4 Rh 0.000 0.000 0.000  0.63
5 Cr 0.500 0.500 0.500  -0.41

=====

Li2CaSm: optimized geometry, PBE-GGA.

Values from the calculation:
- V: 122.0 Å³/f.u.
- Formation energy from the elements: 0.162 eV/atom
- Calculated total energy: -2.475 eV per atom
- Energy relative to the lowest polymorph listed for this composition: 65 meV per atom

Unit cell a=3.560 b=3.560 c=11.307 alpha=80.95 beta=80.95 gamma=59.95
Atoms (fractional coordinates):
1 Li 0.085 0.085 0.745
2 Li 0.248 0.248 0.255
3 Ca 0.667 0.667 0.000
4 Sm 0.500 0.500 0.500

=====

EuNpH: optimized geometry, PBE-GGA.

Values from the calculation:
- V: 57.9 Å³/f.u.
- Calculated total energy: -8.766 eV per atom

Unit cell a=3.439 b=3.341 c=10.229 alpha=90.00 beta=99.68 gamma=90.00
Site moments in Bohr magnetons follow the coordinates.
Atoms (fractional coordinates):
1 Np 0.775 0.250 0.551  -0.35
2 Np 0.225 0.750 0.449  -0.35
3 Eu 0.414 0.750 0.828  6.96
4 Eu 0.586 0.250 0.172  6.96
5 H 0.844 0.750 0.687  0.00
6 H 0.156 0.250 0.313  0.00

=====

Fe2PdWI: optimized geometry, PBE-GGA.

Values from the calculation:
- V: 109.7 Å³/f.u.
- Calculated total energy: -5.751 eV per atom
- Formation energy without anion corrections: 1.573 eV/atom

Unit cell a=4.543 b=5.312 c=4.543 alpha=90.00 beta=90.00 gamma=90.00
Site moments in Bohr magnetons follow the coordinates.
Atoms (fractional coordinates):
1 I 0.000 0.500 0.000  -0.01
2 Pd 0.500 0.500 0.500  0.04
3 W 0.000 0.000 0.000  -0.48
4 Fe 0.000 0.000 0.500  2.13
5 Fe 0.500 0.000 0.000  1.80

=====

BaBeRu2: optimized geometry, PBE-GGA.

Values from the calculation:
- V: 75.0 Å³/f.u.
- Formation energy from the elements: 0.624 eV/atom
- Calculated total energy: -5.426 eV per atom

Unit cell a=3.835 b=2.980 c=6.573 alpha=87.51 beta=90.00 gamma=90.00
Atoms (fractional coordinates):
1 Ru 0.000 0.006 0.909
2 Ru 0.000 0.494 0.591
3 Ba 0.500 0.250 0.250
4 Be 0.500 0.750 0.750

=====

Nd2AlZn5: optimized geometry, PBE-GGA.

Values from the calculation:
- V: 166.4 Å³/f.u.
- Formation energy from the elements: -0.203 eV/atom
- Calculated total energy: -2.659 eV per atom
- Energy relative to the lowest polymorph listed for this composition: 155 meV per atom

Unit cell a=6.062 b=6.062 c=6.062 alpha=97.96 beta=115.52 gamma=115.52
Atoms (fractional coordinates):
1 Nd 0.500 0.277 0.777
2 Nd 0.500 0.777 0.277
3 Al 0.000 0.837 0.837
4 Zn 0.422 0.738 0.738
5 Zn 0.000 0.738 0.315
6 Zn 0.000 0.315 0.738
7 Zn 0.578 0.315 0.315
8 Zn 0.000 0.224 0.224

=====

AgTeI2O: optimized geometry, PBE-GGA.

Values from the calculation:
- V: 128.8 Å³/f.u.
- Calculated total energy: -2.448 eV per atom
- Energy relative to the lowest polymorph listed for this composition: 390 meV per atom
- Formation energy without anion corrections: 0.363 eV/atom

Unit cell a=5.311 b=5.311 c=4.565 alpha=90.00 beta=90.00 gamma=90.00
Atoms (fractional coordinates):
1 I 0.000 0.500 0.000
2 I 0.500 0.000 0.000
3 Te 0.000 0.000 0.500
4 O 0.000 0.000 0.000
5 Ag 0.500 0.500 0.500

=====

UAl11Fe: optimized geometry, PBE-GGA.

Values from the calculation:
- V: 212.9 Å³/f.u.
- Formation energy from the elements: -0.113 eV/atom
- Calculated total energy: -4.799 eV per atom

Unit cell a=5.175 b=7.015 c=6.781 alpha=82.27 beta=67.57 gamma=69.35
Site moments in Bohr magnetons follow the coordinates.
Atoms (fractional coordinates):
1 U 0.000 0.000 0.000  2.27
2 Al 0.291 0.224 0.210  0.00
3 Al 0.709 0.776 0.790  0.00
4 Al 0.499 0.776 0.210  0.00
5 Al 0.501 0.224 0.790  0.00
6 Al 0.365 0.640 0.659  -0.01
7 Al 0.635 0.360 0.341  -0.01
8 Al 0.976 0.360 0.659  -0.01
9 Al 0.024 0.640 0.341  -0.01
10 Al 0.000 0.500 0.000  -0.01
11 Al 0.500 0.000 0.500  0.00
12 Al 0.000 0.000 0.500  0.00
13 Fe 0.500 0.500 0.000  0.54

=====

Pm6PrNd2Sm: optimized geometry, PBE-GGA.

Values from the calculation:
- V: 349.9 Å³/f.u.
- Formation energy from the elements: 0.115 eV/atom
- Calculated total energy: -4.639 eV per atom

Unit cell a=10.020 b=8.957 c=8.957 alpha=118.07 beta=94.84 gamma=94.84
Atoms (fractional coordinates):
1 Pm 0.056 0.119 0.744
2 Pm 0.444 0.256 0.881
3 Pm 0.944 0.881 0.256
4 Pm 0.556 0.744 0.119
5 Pm 0.314 0.976 0.424
6 Pm 0.186 0.576 0.024
7 Pm 0.686 0.024 0.576
8 Pm 0.814 0.424 0.976
9 Pm 0.121 0.704 0.499
10 Pm 0.379 0.501 0.296
11 Pm 0.879 0.296 0.501
12 Pm 0.621 0.499 0.704
13 Pr 0.250 0.405 0.595
14 Pr 0.750 0.595 0.405
15 Nd 0.458 0.811 0.711
16 Nd 0.042 0.289 0.189
17 Nd 0.542 0.189 0.289
18 Nd 0.958 0.711 0.811
19 Sm 0.250 0.982 0.018
20 Sm 0.750 0.018 0.982